Record 1
! NaAl2Re (PBE-GGA, optimized geometry); values from VASP
&SYSTEM
  ibrav = 0, nat = 4, ntyp = 3
/
ATOMIC_SPECIES
Na 22.99 Na.upf
Al 26.98 Al.upf
Re 186.21 Re.upf
CELL_PARAMETERS angstrom
0.000 3.172 3.172
3.172 0.000 3.172
3.172 3.172 0.000
ATOMIC_POSITIONS crystal
Na 0.000 0.000 0.000
Al 0.750 0.750 0.750
Al 0.250 0.250 0.250
Re 0.500 0.500 0.500
! Calculated total energy = -5.02 eV/atom
! SG = Fm-3m (225)
! Energy above the lowest structure with this stoichiometry = 0 meV per atom

Record 2
! PaMnAlNi (PBE-GGA, optimized geometry); values from VASP
&SYSTEM
  ibrav = 0, nat = 4, ntyp = 4
/
ATOMIC_SPECIES
Ni 58.69 Ni.upf
Mn 54.94 Mn.upf
Al 26.98 Al.upf
Pa 231.04 Pa.upf
CELL_PARAMETERS angstrom
4.485 0.000 0.000
2.243 3.884 0.000
2.243 1.295 3.662
ATOMIC_POSITIONS crystal
Ni 0.250 0.250 0.250
Mn 0.750 0.750 0.750
Al 0.000 0.000 0.000
Pa 0.500 0.500 0.500
! Calculated total energy = -7.26 eV/atom
! SG = F-43m (216)

Record 3
! PbAu2Br (PBE-GGA, optimized geometry); values from VASP
&SYSTEM
  ibrav = 0, nat = 4, ntyp = 3
/
ATOMIC_SPECIES
Br 79.90 Br.upf
Au 196.97 Au.upf
Pb 207.20 Pb.upf
CELL_PARAMETERS angstrom
3.727 0.000 0.000
0.000 3.678 -0.061
0.000 1.884 7.272
ATOMIC_POSITIONS crystal
Br 0.000 0.311 0.491
Au 0.000 0.046 0.034
Au 0.500 0.472 0.190
Pb 0.500 0.671 0.786
! Calculated total energy = -3.09 eV/atom
! Raw formation energy = -0.10 eV/atom
! SG = Pm (6)
! Energy above the lowest structure with this stoichiometry = 18 meV per atom

Record 4
! BaCdCu2 (PBE-GGA, optimized geometry); values from VASP
&SYSTEM
  ibrav = 0, nat = 8, ntyp = 3
/
ATOMIC_SPECIES
Cu 63.55 Cu.upf
Cd 112.41 Cd.upf
Ba 137.33 Ba.upf
CELL_PARAMETERS angstrom
5.005 0.000 0.000
0.000 5.005 0.000
2.502 2.502 9.113
ATOMIC_POSITIONS crystal
Cu 0.375 0.625 0.750
Cu 0.875 0.625 0.750
Cu 0.375 0.625 0.250
Cu 0.375 0.125 0.250
Cd 0.250 0.750 0.500
Cd 0.500 0.500 0.000
Ba 0.000 0.000 0.000
Ba 0.750 0.250 0.500
! Calculated total energy = -2.71 eV/atom
! SG = I4_1/amd (141)

Record 5
! Be2FeSnSb (PBE-GGA, optimized geometry); values from VASP
&SYSTEM
  ibrav = 0, nat = 5, ntyp = 4
/
ATOMIC_SPECIES
Sn 118.71 Sn.upf
Be 9.01 Be.upf
Sb 121.76 Sb.upf
Fe 55.84 Fe.upf
CELL_PARAMETERS angstrom
-0.020 1.613 3.958
2.387 -5.023 2.060
3.913 1.600 -0.632
ATOMIC_POSITIONS crystal
Sn 0.000 0.500 0.000
Be 0.000 0.000 0.500
Be 0.500 0.000 0.000
Sb 0.000 0.000 0.000
Fe 0.500 0.500 0.500
! Calculated total energy = -3.39 eV/atom
! Raw formation energy = 1.42 eV/atom
! SG = P4/mmm (123)

Record 6
! PrTm6Cd2 (PBE-GGA, optimized geometry); values from VASP
&SYSTEM
  ibrav = 0, nat = 9, ntyp = 3
/
ATOMIC_SPECIES
Tm 168.93 Tm.upf
Pr 140.91 Pr.upf
Cd 112.41 Cd.upf
CELL_PARAMETERS angstrom
4.963 0.000 0.000
0.000 4.963 0.000
0.000 0.000 11.043
ATOMIC_POSITIONS crystal
Tm 0.000 0.500 0.722
Tm 0.000 0.500 0.278
Tm 0.500 0.000 0.722
Tm 0.500 0.500 0.500
Tm 0.500 0.000 0.278
Tm 0.000 0.000 0.500
Pr 0.000 0.000 0.000
Cd 0.500 0.500 0.880
Cd 0.500 0.500 0.120
! Calculated total energy = -3.73 eV/atom
! SG = P4/mmm (123)
! Energy above the lowest structure with this stoichiometry = 108 meV per atom